No. 1
DFT (SCAN) results for GdBr at its PBEsol-relaxed geometry.

```
GdBr
1.0
3.758 0.000 0.000
-1.879 3.255 0.000
0.000 0.000 10.036
Gd Br
2 2
Direct
0.333 0.667 0.140
0.667 0.333 0.860
0.333 0.667 0.666
0.667 0.333 0.334
```

***

No. 2
DFT (SCAN) results for Gd2GeBr2 at its PBEsol-relaxed geometry.

```
Gd2GeBr2
1.0
4.114 0.000 0.000
-2.057 3.563 0.000
0.000 0.000 10.042
Gd Ge Br
2 1 2
Direct
0.333 0.667 0.162
0.667 0.333 0.838
0.000 0.000 0.000
0.333 0.667 0.666
0.667 0.333 0.334
```

***

No. 3
DFT (SCAN) results for LaGd3Br4O4 at its PBEsol-relaxed geometry.

```
LaGd3Br4O4
1.0
3.910 0.000 0.000
0.000 3.913 8.006
0.000 -3.913 8.006
La Gd Br O
1 3 4 4
Direct
0.000 0.000 0.000
0.000 0.511 0.511
0.500 0.401 0.903
0.500 0.903 0.401
0.000 0.248 0.248
0.000 0.753 0.753
0.500 0.172 0.644
0.500 0.644 0.172
0.000 0.334 0.828
0.000 0.828 0.334
0.500 0.080 0.080
0.500 0.582 0.582
```

***

No. 4
DFT (SCAN) results for Na3GdBr6 at its PBEsol-relaxed geometry.

```
Na3GdBr6
1.0
3.668 2.118 6.559
-3.668 2.118 6.559
0.000 -4.236 6.559
Na Gd Br
3 1 6
Direct
0.000 0.000 0.000
0.197 0.197 0.197
0.493 0.493 0.493
0.689 0.689 0.689
0.071 0.426 0.796
0.301 0.900 0.598
0.426 0.796 0.071
0.598 0.301 0.900
0.796 0.071 0.426
0.900 0.598 0.301
```

***

No. 5
DFT (SCAN) results for GdSBr at its PBEsol-relaxed geometry.

```
GdSBr
1.0
6.745 0.000 0.000
0.000 6.870 0.000
-1.143 0.000 6.644
Gd S Br
4 4 4
Direct
0.179 0.038 0.291
0.179 0.462 0.791
0.821 0.538 0.209
0.821 0.962 0.709
0.059 0.740 0.509
0.059 0.760 0.009
0.941 0.240 0.991
0.941 0.260 0.491
0.417 0.121 0.706
0.417 0.379 0.206
0.583 0.621 0.794
0.583 0.879 0.294
```

***

No. 6
DFT (SCAN) results for GeBr4 at its PBEsol-relaxed geometry.

```
GeBr4
1.0
10.402 0.000 0.000
0.000 6.732 0.000
-2.612 0.000 10.275
Ge Br
4 16
Direct
0.250 0.069 0.150
0.250 0.431 0.650
0.750 0.569 0.350
0.750 0.931 0.850
0.075 0.585 0.705
0.075 0.915 0.205
0.194 0.108 0.594
0.194 0.392 0.094
0.297 0.593 0.478
0.297 0.907 0.978
0.431 0.060 0.323
0.431 0.440 0.823
0.569 0.560 0.177
0.569 0.940 0.677
0.703 0.093 0.022
0.703 0.407 0.522
0.806 0.608 0.906
0.806 0.892 0.406
0.925 0.085 0.795
0.925 0.415 0.295
```

***

No. 7
DFT (SCAN) results for InGeHBr2 at its PBEsol-relaxed geometry.

```
InGeHBr2
1.0
5.473 0.000 0.000
0.000 5.473 0.000
0.000 0.000 3.582
In Ge H Br
1 1 1 2
Direct
0.000 0.000 0.000
0.500 0.500 0.000
0.500 0.500 0.500
0.000 0.500 0.500
0.500 0.000 0.500
```

***

No. 8
DFT (SCAN) results for HfSc2GeBr at its PBEsol-relaxed geometry.

```
HfSc2GeBr
1.0
5.334 0.000 0.000
0.000 5.334 0.000
0.000 0.000 4.831
Hf Sc Ge Br
1 2 1 1
Direct
0.000 0.000 0.000
0.000 0.500 0.000
0.500 0.000 0.000
0.500 0.500 0.500
0.000 0.000 0.500
```

***

No. 9
DFT (SCAN) results for HfZnGeBr2 at its PBEsol-relaxed geometry.

```
HfZnGeBr2
1.0
5.108 0.000 0.000
0.000 5.108 0.000
0.000 0.000 5.397
Hf Zn Ge Br
1 1 1 2
Direct
0.000 0.000 0.000
0.500 0.500 0.000
0.000 0.000 0.500
0.000 0.500 0.500
0.500 0.000 0.500
```

***

No. 10
DFT (SCAN) results for Hg3GeBr at its PBEsol-relaxed geometry.

```
Hg3GeBr
1.0
5.190 0.000 0.000
0.000 5.190 0.000
0.000 0.000 5.190
Hg Ge Br
3 1 1
Direct
0.000 0.000 0.500
0.000 0.500 0.000
0.500 0.000 0.000
0.000 0.000 0.000
0.500 0.500 0.500
```

***

No. 11
DFT (SCAN) results for GeIBr2 at its PBEsol-relaxed geometry.

```
GeIBr2
1.0
0.000 3.722 3.722
3.722 0.000 3.722
3.722 3.722 0.000
Ge I Br
1 1 2
Direct
0.000 0.000 0.000
0.500 0.500 0.500
0.250 0.250 0.250
0.750 0.750 0.750
```

***

No. 12
DFT (SCAN) results for GeTeI2Br at its PBEsol-relaxed geometry.

```
GeTeI2Br
1.0
5.471 0.000 0.000
0.000 5.471 0.000
0.000 0.000 5.487
Ge Te I Br
1 1 2 1
Direct
0.000 0.000 0.000
0.000 0.000 0.500
0.000 0.500 0.000
0.500 0.000 0.000
0.500 0.500 0.500
```

***

No. 13
DFT (SCAN) results for InGe3Br at its PBEsol-relaxed geometry.

```
InGe3Br
1.0
5.278 0.000 0.000
0.000 5.278 0.000
0.000 0.000 5.278
In Ge Br
1 3 1
Direct
0.000 0.000 0.000
0.000 0.000 0.500
0.000 0.500 0.000
0.500 0.000 0.000
0.500 0.500 0.500
```

***

No. 14
DFT (SCAN) results for In2GeSBr at its PBEsol-relaxed geometry.

```
In2GeSBr
1.0
5.640 0.000 0.000
0.000 5.640 0.000
0.000 0.000 4.728
In Ge S Br
2 1 1 1
Direct
0.000 0.500 0.000
0.500 0.000 0.000
0.000 0.000 0.500
0.500 0.500 0.500
0.500 0.500 0.000
```

***

No. 15
DFT (SCAN) results for ZnInGe2Br at its PBEsol-relaxed geometry.

```
ZnInGe2Br
1.0
5.157 0.000 0.000
0.000 5.157 0.000
0.000 0.000 4.911
Zn In Ge Br
1 1 2 1
Direct
0.000 0.000 0.000
0.500 0.500 0.000
0.000 0.500 0.500
0.500 0.000 0.500
0.000 0.000 0.500
```

***

No. 16
DFT (SCAN) results for Ge3IrBr at its PBEsol-relaxed geometry.

```
Ge3IrBr
1.0
4.867 0.000 0.000
0.000 4.867 0.000
0.000 0.000 4.867
Ge Ir Br
3 1 1
Direct
0.000 0.000 0.500
0.000 0.500 0.000
0.500 0.000 0.000
0.500 0.500 0.500
0.000 0.000 0.000
```

***

No. 17
DFT (SCAN) results for KRbGeBr2 at its PBEsol-relaxed geometry.

```
KRbGeBr2
1.0
5.883 0.000 0.000
0.000 5.883 0.000
0.000 0.000 6.332
K Rb Ge Br
1 1 1 2
Direct
0.000 0.000 0.000
0.000 0.000 0.500
0.500 0.500 0.500
0.000 0.500 0.000
0.500 0.000 0.000
```

***

No. 18
DFT (SCAN) results for KSiGeBr2 at its PBEsol-relaxed geometry.

```
KSiGeBr2
1.0
5.552 0.000 0.000
0.000 5.552 0.000
0.000 0.000 5.755
K Si Ge Br
1 1 1 2
Direct
0.000 0.000 0.000
0.500 0.500 0.500
0.000 0.000 0.500
0.000 0.500 0.000
0.500 0.000 0.000
```

***

No. 19
DFT (SCAN) results for La2NbGeBr at its PBEsol-relaxed geometry.

```
La2NbGeBr
1.0
5.796 0.000 0.000
0.000 5.796 0.000
0.000 0.000 5.042
La Nb Ge Br
2 1 1 1
Direct
0.000 0.500 0.000
0.500 0.000 0.000
0.000 0.000 0.500
0.500 0.500 0.000
0.500 0.500 0.500
```

***

No. 20
DFT (SCAN) results for LiGe3Br at its PBEsol-relaxed geometry.

```
LiGe3Br
1.0
4.676 0.000 0.000
0.000 4.676 0.000
0.000 0.000 4.676
Li Ge Br
1 3 1
Direct
0.000 0.000 0.000
0.000 0.000 0.500
0.000 0.500 0.000
0.500 0.000 0.000
0.500 0.500 0.500
```

***

| no. | E_tot (eV for the cell shown) |
| --- | --- |
| 1 | -161.997 |
| 2 | -183.419 |
| 3 | -360.406 |
| 4 | -206.944 |
| 5 | -378.051 |
| 6 | -400.044 |
| 7 | -94.802 |
| 8 | -126.082 |
| 9 | -131.221 |
| 10 | -243.690 |
| 11 | -93.346 |
| 12 | -147.774 |
| 13 | -105.722 |
| 14 | -111.327 |
| 15 | -99.941 |
| 16 | -138.648 |
| 17 | -89.162 |
| 18 | -72.250 |
| 19 | -155.377 |
| 20 | -76.294 |